[1]
# Pu2VRh, relaxed, DFT PBE
data_Pu2VRh
_cell_length_a 2.8678
_cell_length_b 2.8678
_cell_length_c 30.3333
_cell_angle_alpha 90.00
_cell_angle_beta 90.00
_cell_angle_gamma 120.00
_symmetry_space_group_name_H-M 'R -3 m'
_symmetry_Int_Tables_number 166
_symmetry_space_group_name_Hall '-R 3 2"'
loop_
_atom_site_label
_atom_site_type_symbol
_atom_site_fract_x
_atom_site_fract_y
_atom_site_fract_z
_atom_site_occupancy
Pu1 Pu 0.0000 0.0000 0.0846 1
V1 V 0.0000 0.0000 0.0000 1
Rh1 Rh 0.0000 0.0000 0.5000 1
# - Density of states at the Fermi level: 33.3 states/eV/cell
# - Excess energy over the best structure of this formula in the dataset: 67.0 meV/atom
# - Magnetic moment: 7.29 μB per formula unit
# - Crystal system: trigonal

=====

[2]
# Y3PuRh4, relaxed, DFT PBE
data_Y3PuRh4
_cell_length_a 4.861
_cell_length_b 4.861
_cell_length_c 13.762
_cell_angle_alpha 90.00
_cell_angle_beta 90.00
_cell_angle_gamma 90.00
_symmetry_space_group_name_H-M 'I 4/m m m'
_symmetry_Int_Tables_number 139
_symmetry_space_group_name_Hall '-I 4 2'
loop_
_atom_site_label
_atom_site_type_symbol
_atom_site_fract_x
_atom_site_fract_y
_atom_site_fract_z
_atom_site_occupancy
Y1 Y 0.000 0.000 0.000 1
Y2 Y 0.000 0.000 0.251 1
Pu1 Pu 0.000 0.000 0.500 1
Rh1 Rh 0.000 0.500 0.124 1
# - Density of states at the Fermi level: 28.7 states/eV/cell
# - Magnetic moment: 4.83 μB per formula unit
# - Crystal system: tetragonal

=====

[3]
# Y2PuRh2, relaxed, DFT PBE
data_Y2PuRh2
_cell_length_a 5.695
_cell_length_b 4.212
_cell_length_c 10.357
_cell_angle_alpha 90.00
_cell_angle_beta 95.32
_cell_angle_gamma 90.00
_symmetry_space_group_name_H-M 'P 1 21/m 1'
_symmetry_Int_Tables_number 11
loop_
_symmetry_equiv_pos_as_xyz
'x,y,z'
'-x,-y,-z'
'-x,y+1/2,-z'
'x,-y+1/2,z'
loop_
_atom_site_label
_atom_site_type_symbol
_atom_site_fract_x
_atom_site_fract_y
_atom_site_fract_z
_atom_site_occupancy
Y1 Y 0.113 0.250 0.377 1
Y2 Y 0.250 0.250 0.037 1
Pu1 Pu 0.394 0.250 0.707 1
Rh1 Rh 0.249 0.750 0.852 1
Rh2 Rh 0.346 0.750 0.536 1
# - Density of states at the Fermi level: 20.3 states/eV/cell
# - Excess energy over the best structure of this formula in the dataset: 65.3 meV/atom
# - Magnetic moment: 5.30 μB per formula unit
# - Crystal system: monoclinic

=====

[4]
# YPu2Rh3, relaxed, DFT PBE
data_YPu2Rh3
_cell_length_a 3.430
_cell_length_b 3.430
_cell_length_c 10.297
_cell_angle_alpha 90.00
_cell_angle_beta 90.00
_cell_angle_gamma 90.00
_symmetry_space_group_name_H-M 'P 4/m m m'
_symmetry_Int_Tables_number 123
_symmetry_space_group_name_Hall '-P 4 2'
loop_
_atom_site_label
_atom_site_type_symbol
_atom_site_fract_x
_atom_site_fract_y
_atom_site_fract_z
_atom_site_occupancy
Y1 Y 0.000 0.000 0.000 1
Pu1 Pu 0.000 0.000 0.335 1
Rh1 Rh 0.500 0.500 0.169 1
Rh2 Rh 0.500 0.500 0.500 1
# - Density of states at the Fermi level: 19.2 states/eV/cell
# - Magnetic moment: 9.61 μB per formula unit
# - Crystal system: tetragonal

=====

[5]
# Y2PuRh, relaxed, DFT PBE
data_Y2PuRh
_cell_length_a 3.440
_cell_length_b 3.440
_cell_length_c 8.648
_cell_angle_alpha 90.00
_cell_angle_beta 90.00
_cell_angle_gamma 90.00
_symmetry_space_group_name_H-M 'P 4/m m m'
_symmetry_Int_Tables_number 123
_symmetry_space_group_name_Hall '-P 4 2'
loop_
_atom_site_label
_atom_site_type_symbol
_atom_site_fract_x
_atom_site_fract_y
_atom_site_fract_z
_atom_site_occupancy
Y1 Y 0.000 0.000 0.195 1
Pu1 Pu 0.500 0.500 0.500 1
Rh1 Rh 0.500 0.500 0.000 1
# - Density of states at the Fermi level: 8.3 states/eV/cell
# - Magnetic moment: 6.79 μB per formula unit
# - Crystal system: tetragonal

=====

[6]
# Y2PuRh2, relaxed, DFT PBE
data_Y2PuRh2
_cell_length_a 10.465
_cell_length_b 5.795
_cell_length_c 7.784
_cell_angle_alpha 90.00
_cell_angle_beta 103.15
_cell_angle_gamma 90.00
_symmetry_space_group_name_H-M 'C 1 2/c 1'
_symmetry_Int_Tables_number 15
loop_
_symmetry_equiv_pos_as_xyz
'x,y,z'
'-x,-y,-z'
'-x,y,-z+1/2'
'x,-y,z+1/2'
'x+1/2,y+1/2,z'
'-x+1/2,-y+1/2,-z'
'-x+1/2,y+1/2,-z+1/2'
'x+1/2,-y+1/2,z+1/2'
loop_
_atom_site_label
_atom_site_type_symbol
_atom_site_fract_x
_atom_site_fract_y
_atom_site_fract_z
_atom_site_occupancy
Y1 Y 0.151 0.132 0.151 1
Pu1 Pu 0.000 0.362 0.750 1
Rh1 Rh 0.137 0.362 0.505 1
# - Density of states at the Fermi level: 33.4 states/eV/cell
# - Excess energy over the best structure of this formula in the dataset: 0.0 meV/atom
# - Magnetic moment: 5.71 μB per formula unit
# - Crystal system: monoclinic

=====

Number 1: ΔH_f (0 K) 349.7 meV/atom. Number 2: ΔH_f (0 K) -712.9 meV/atom. Number 3: ΔH_f (0 K) -542.6 meV/atom. Number 4: ΔH_f (0 K) -542.0 meV/atom. Number 5: ΔH_f (0 K) -317.0 meV/atom. Number 6: ΔH_f (0 K) -607.9 meV/atom.